Entry 1:
A geometry-optimized CdPdAu5 structure. Source: Alexandria, functional PBE.

Cell: 5.627 8.401 5.789 Å, 90.00 90.00 90.00°
Space group Cmmm (No. 65)
Inequivalent atoms, fractional coordinates:
1 Cd 0.000 0.000 0.000 [2 per cell]
2 Pd 0.000 0.500 0.500 [2 per cell]
3 Au 0.000 0.000 0.500 [2 per cell]
4 Au 0.250 0.250 0.246 [8 per cell]

Calculated values
Its total energy is -3.235 eV/atom. As for the crystal system: orthorhombic. The value obtained for the volume is 19.55 Å³ per atom. As for the energy above the lowest structure with this stoichiometry: 0.000 eV per atom. The calculation puts the energy of formation at -0.0216 eV/atom.

=====

Entry 2:
A geometry-optimized AsPRh2 structure. Source: Alexandria, functional PBE.

Cell: 3.059 4.596 4.158 Å, 90.00 90.00 90.00°
Space group Pmm2 (No. 25)
Inequivalent atoms, fractional coordinates:
1 As 0.000 0.000 0.000 [1 per cell]
2 P 0.500 0.500 0.713 [1 per cell]
3 Rh 0.000 0.500 0.232 [1 per cell]
4 Rh 0.500 0.000 0.517 [1 per cell]

Calculated values
Its total energy is -6.557 eV/atom. As for the crystal system: orthorhombic. The value obtained for the volume is 14.61 Å³ per atom. As for the energy above the lowest structure with this stoichiometry: 0.074 eV per atom. The calculation puts the energy of formation at -0.3665 eV/atom.